DFT (GGA+U) results for an optimized crystal structure of CoIrPbO4.

Summary:
Electronic total energy   -6.1423 eV per atom
Magnetization   0.000 μB/cell

Cell lengths 6.302, 6.302, 6.302 Å; angles 123.26, 115.73, 91.00 degrees
Fractional positions:
Co  0.500  0.000  0.000
Co  0.500  0.500  0.500
Ir  0.000  0.000  0.000
Ir  0.500  0.000  0.500
Pb  0.107  0.357  0.750
Pb  0.893  0.643  0.250
O  0.280  0.241  0.461
O  0.280  0.819  0.039
O  0.298  0.234  0.064
O  0.330  0.766  0.564
O  0.670  0.234  0.436
O  0.702  0.766  0.936
O  0.720  0.181  0.961
O  0.720  0.759  0.539